1.
## BaCoMo2Se (PBE-GGA)

Data for crystalline BaCoMo2Se at its relaxed geometry.

Lattice parameters (Å, degrees): 5.085 5.085 4.597 90.00 90.00 90.00
Space group P4/mmm (No. 123)
Asymmetric unit:
Ba 0.000 0.000 0.000 x1
Co 0.000 0.000 0.500 x1
Mo 0.000 0.500 0.000 x2
Se 0.500 0.500 0.500 x1

Properties
Formation energy from raw total energies: 14.27 eV per formula unit


2.
## Ba2YCoMo (PBE-GGA)

Data for crystalline Ba2YCoMo at its relaxed geometry.

Lattice parameters (Å, degrees): 6.091 6.091 4.436 90.00 90.00 90.00
Space group P4/mmm (No. 123)
Asymmetric unit:
Ba 0.000 0.500 0.000 x2
Y 0.000 0.000 0.500 x1
Co 0.500 0.500 0.500 x1
Mo 0.500 0.500 0.000 x1

Properties
ΔE_f: 1.032 eV per atom


3.
## BaZnCo2Mo (PBE-GGA)

Data for crystalline BaZnCo2Mo at its relaxed geometry.

Lattice parameters (Å, degrees): 4.675 4.675 4.903 90.00 90.00 90.00
Space group P4/mmm (No. 123)
Asymmetric unit:
Ba 0.000 0.000 0.000 x1
Zn 0.500 0.500 0.500 x1
Co 0.000 0.500 0.500 x2
Mo 0.500 0.500 0.000 x1

Properties
ΔE_f: 1.145 eV per atom


4.
## BaCoN4 (PBE-GGA)

Data for crystalline BaCoN4 at its relaxed geometry.

Lattice parameters (Å, degrees): 6.350 6.350 4.941 90.00 90.00 90.00
Space group P4_2/mmc (No. 131)
Asymmetric unit:
Ba 0.000 0.500 0.000 x2
Co 0.000 0.000 0.250 x2
N 0.276 0.409 0.500 x8

Properties
Formation energy from raw total energies: 1.38 eV per formula unit